1.
VASP calculation (PBE) on crystalline VZn15 at its relaxed geometry.

Summary:
The calculation puts the energy of formation from the pure elements at 24 meV per atom.

Lattice parameters (Å, degrees): 5.5813 5.5813 8.7998 90.00 90.00 120.00
Last column: nearest neighbours and their distance in Å.
Space group P-6m2 (No. 187)
Inequivalent atoms, fractional coordinates:
V 0.0000 0.0000 0.0000 x1  12 Zn 2.69-2.79
Zn 0.0000 0.0000 0.5000 x1  12 Zn 2.74-2.79
Zn 0.3288 0.1644 0.2469 x6  1 V 2.69, 11 Zn 2.71-2.83
Zn 0.3333 0.6667 0.2500 x2  12 Zn 2.73-2.79
Zn 0.5004 0.0008 0.5000 x3  12 Zn 2.73-2.80
Zn 0.5006 0.0013 0.0000 x3  10 Zn 2.71-2.80, 2 V 2.79

---

2.
VASP calculation (PBE) on crystalline NaReC3 at its relaxed geometry.

Summary:
As for the energy above the lowest structure with this stoichiometry: 0.0 meV per atom. The calculation puts the energy of formation from the pure elements at 1346 meV per atom.

Lattice parameters (Å, degrees): 4.0563 4.0563 4.0563 90.00 90.00 90.00
Last column: nearest neighbours and their distance in Å.
Space group Pm-3m (No. 221)
Inequivalent atoms, fractional coordinates:
Na 0.0000 0.0000 0.0000 x1  12 C 2.87
Re 0.5000 0.5000 0.5000 x1  6 C 2.03
C 0.0000 0.5000 0.5000 x3  2 Re 2.03

---

3.
VASP calculation (PBE) on crystalline TlCoSb2 at its relaxed geometry.

Summary:
The value obtained for the energy relative to the elements, uncorrected is 65.3 meV per atom. As for the energy above the lowest structure with this stoichiometry: 74.8 meV per atom.

Lattice parameters (Å, degrees): 3.1534 3.1564 9.6785 90.00 91.00 90.00
Last column: nearest neighbours and their distance in Å.
Space group P2/m (No. 10)
Inequivalent atoms, fractional coordinates:
Tl 0.0000 0.0000 0.0000 x1  4 Tl 3.15-3.16
Co 0.0000 0.0000 0.5000 x1  8 Sb 2.74-2.75
Sb 0.4922 0.5000 0.3345 x2  4 Co 2.74-2.75

---

4.
VASP calculation (PBE) on crystalline Pu2IF at its relaxed geometry.

Summary:
The value obtained for the energy relative to the elements, uncorrected is -1149.9 meV per atom.

Lattice parameters (Å, degrees): 3.8807 3.8807 22.8646 90.00 90.00 120.00
Last column: nearest neighbours and their distance in Å.
Space group R-3m (No. 166, hexagonal axes)
Inequivalent atoms, fractional coordinates:
Pu 0.0000 0.0000 0.2293 x6  3 F 2.66
I 0.0000 0.0000 0.0000 x3  6 Pu 3.27
F 0.0000 0.0000 0.5000 x3  6 Pu 2.66

---

5.
VASP calculation (PBE) on crystalline CaBrO3 at its relaxed geometry.

Summary:
The value obtained for the energy relative to the elements, uncorrected is -716.0 meV per atom.

Lattice parameters (Å, degrees): 4.0322 4.0322 4.0322 90.00 90.00 90.00
Last column: nearest neighbours and their distance in Å.
Space group Pm-3m (No. 221)
Inequivalent atoms, fractional coordinates:
Ca 0.0000 0.0000 0.0000 x1  12 O 2.85
Br 0.5000 0.5000 0.5000 x1  6 O 2.02
O 0.0000 0.5000 0.5000 x3  2 Br 2.02

---

6.
VASP calculation (PBE) on crystalline VFe4Pt5 at its relaxed geometry.

Summary:
The calculation puts the energy of formation from the pure elements at -311 meV per atom.

Lattice parameters (Å, degrees): 2.7379 2.7379 18.7673 90.00 90.00 90.00
Last column: nearest neighbours and their distance in Å.
Space group P4/mmm (No. 123)
Inequivalent atoms, fractional coordinates:
V 0.0000 0.0000 0.0000 x1  8 Pt 2.70, 4 V 2.74
Fe 0.0000 0.0000 0.2020 x2  8 Pt 2.68-2.72, 4 Fe 2.74
Fe 0.0000 0.0000 0.4006 x2  8 Pt 2.69, 4 Fe 2.74
Pt 0.5000 0.5000 0.1000 x2  4 V 2.70, 4 Fe 2.72, 4 Pt 2.74
Pt 0.5000 0.5000 0.3008 x2  8 Fe 2.68-2.69, 4 Pt 2.74
Pt 0.5000 0.5000 0.5000 x1  8 Fe 2.69, 4 Pt 2.74

---

7.
VASP calculation (PBE) on crystalline BaNa2NiN at its relaxed geometry.

Summary:
The value obtained for the energy relative to the elements, uncorrected is 377.8 meV per atom. As for the energy above the lowest structure with this stoichiometry: 0.0 meV per atom.

Lattice parameters (Å, degrees): 5.7452 5.7452 3.5763 90.00 90.00 90.00
Last column: nearest neighbours and their distance in Å.
Space group P4/mmm (No. 123)
Inequivalent atoms, fractional coordinates:
Ba 0.0000 0.0000 0.0000 x1  8 Na 3.38, 2 Ba 3.58
Na 0.0000 0.5000 0.5000 x2  2 Ni 2.87
Ni 0.5000 0.5000 0.5000 x1  2 N 1.79
N 0.5000 0.5000 0.0000 x1  2 Ni 1.79

---

8.
VASP calculation (PBE) on crystalline LaY2Tm7 at its relaxed geometry.

Summary:
As for the energy above the lowest structure with this stoichiometry: 672.3 meV per atom. The calculation puts the energy of formation from the pure elements at 719 meV per atom.

Lattice parameters (Å, degrees): 8.5935 16.3941 5.5232 90.00 90.00 90.00
Last column: nearest neighbours and their distance in Å.
Space group Cmmm (No. 65)
Inequivalent atoms, fractional coordinates:
La 0.0000 0.0000 0.0000 x2  10 Tm 3.44-3.65
Y 0.0000 0.2961 0.5000 x4  7 Tm 3.10-3.36
Tm 0.0000 0.2097 0.0000 x4  2 Y 3.10, 1 La 3.44
Tm 0.0000 0.5000 0.5000 x2  4 Tm 3.34, 2 Y 3.34
Tm 0.1759 0.1127 0.5000 x8  2 Tm 3.02-3.34, 2 Y 3.16-3.36

---

9.
VASP calculation (PBE) on crystalline InGe2Pt7Pb2 at its relaxed geometry.

Summary:
The calculation puts the energy of formation from the pure elements at -310 meV per atom.

Lattice parameters (Å, degrees): 5.6104 5.6119 15.8951 90.00 99.83 90.00
Last column: nearest neighbours and their distance in Å.
Space group C2/m (No. 12)
Inequivalent atoms, fractional coordinates:
In 0.0000 0.0000 0.0000 x2  12 Pt 2.81-2.91
Ge 0.1139 0.5000 0.2343 x4  5 Pt 2.42-2.51
Pt 0.0000 0.5000 0.0000 x2  4 In 2.81, 8 Pt 2.91
Pt 0.1835 0.2498 0.8639 x8  2 Ge 2.51, 4 Pt 2.80-2.81
Pt 0.1933 0.5000 0.3889 x4  1 Ge 2.42
Pb 0.2102 0.0000 0.4226 x4  5 Pt 2.85-2.95

---

10.
VASP calculation (PBE) on crystalline PmCo2Ge at its relaxed geometry.

Summary:
The calculation puts the energy of formation from the pure elements at -5 meV per atom.

Lattice parameters (Å, degrees): 4.2716 4.2716 3.4898 90.00 90.00 90.00
Last column: nearest neighbours and their distance in Å.
Space group P4/mmm (No. 123)
Inequivalent atoms, fractional coordinates:
Pm 0.0000 0.0000 0.0000 x1  8 Co 2.76, 4 Ge 3.02
Co 0.0000 0.5000 0.5000 x2  4 Ge 2.76, 4 Pm 2.76, 4 Co 3.02
Ge 0.5000 0.5000 0.0000 x1  8 Co 2.76, 4 Pm 3.02

---

11.
VASP calculation (PBE) on crystalline Na10B17C3 at its relaxed geometry.

Summary:
As for the energy above the lowest structure with this stoichiometry: 16.7 meV per atom. The calculation puts the energy of formation from the pure elements at 222 meV per atom.

Lattice parameters (Å, degrees): 5.3003 7.5874 9.1989 75.86 73.31 69.88
Last column: nearest neighbours and their distance in Å.
Space group P1 (No. 1)
Inequivalent atoms, fractional coordinates:
Na 0.0000 0.0000 0.0000 x1  10 B 2.69-2.90, 2 C 2.72-2.77, 4 Na 2.85-2.99
Na 0.0011 0.4990 0.5018 x1  9 B 2.66-2.89, 3 C 2.72-2.75, 2 Na 2.85
Na 0.1961 0.5989 0.0052 x1  10 B 2.69-2.93, 2 C 2.74-2.80, 4 Na 2.85-2.99
Na 0.1983 0.0989 0.5055 x1  11 B 2.73-2.84, 1 C 2.75, 6 Na 2.85-3.02
Na 0.3959 0.1973 0.0086 x1  11 B 2.71-2.95, 1 C 2.83, 6 Na 2.85-3.02
Na 0.3980 0.6983 0.5089 x1  10 B 2.66-2.96, 2 C 2.79-2.83, 2 Na 2.85
Na 0.5990 0.2993 0.5014 x1  11 B 2.67-2.95, 1 C 2.84, 2 Na 2.85
Na 0.6040 0.7998 0.9982 x1  10 B 2.69-2.99, 2 C 2.71-2.85, 4 Na 2.85-2.99
Na 0.7961 0.8972 0.5108 x1  10 B 2.69-2.91, 2 C 2.72-2.77, 4 Na 2.85-3.01
Na 0.7974 0.3978 0.0119 x1  10 B 2.66-2.91, 2 C 2.76-2.77, 2 Na 2.85
B 0.0306 0.8406 0.7554 x1  1 C 1.65, 2 B 1.73-1.82
B 0.0327 0.3492 0.2549 x1  3 B 1.70-1.82
B 0.1272 0.7496 0.2553 x1  1 C 1.55
B 0.2182 0.4484 0.7554 x1  2 C 1.61-1.62, 1 B 1.74
B 0.2566 0.9371 0.2552 x1  3 B 1.71-1.78
B 0.3531 0.3507 0.2552 x1  3 B 1.70-1.84
B 0.3578 0.8396 0.7554 x1  3 B 1.73-1.83
B 0.4213 0.0582 0.7552 x1  1 C 1.64, 2 B 1.73-1.80
B 0.4371 0.5660 0.2553 x1  3 B 1.72-1.84
B 0.5481 0.4472 0.7553 x1  3 B 1.74-1.78
B 0.5829 0.9354 0.2553 x1  1 C 1.58, 1 B 1.73
B 0.6356 0.1570 0.2553 x1  3 B 1.70-1.80
B 0.6720 0.6376 0.7552 x1  1 C 1.57
B 0.7470 0.0596 0.7554 x1  3 B 1.73-1.82
B 0.7658 0.5589 0.2550 x1  1 C 1.60, 2 B 1.72-1.73
B 0.8623 0.2591 0.7553 x1  1 C 1.56
B 0.9682 0.1291 0.2550 x1  3 B 1.70-1.82
C 0.1594 0.2533 0.7553 x1  3 B 1.56-1.64
C 0.8343 0.7488 0.2553 x1  3 B 1.55-1.60
C 0.9641 0.6439 0.7552 x1  3 B 1.57-1.65

---

12.
VASP calculation (PBE) on crystalline SbOs2 at its relaxed geometry.

Summary:
The value obtained for the energy relative to the elements, uncorrected is 821.1 meV per atom.

Lattice parameters (Å, degrees): 2.9788 7.7452 4.3407 90.00 90.00 90.00
Last column: nearest neighbours and their distance in Å.
Space group Pnnm (No. 58)
Inequivalent atoms, fractional coordinates:
Sb 0.0000 0.0000 0.0000 x2  6 Os 2.64-2.67
Os 0.2282 0.3293 0.0000 x4  3 Sb 2.64-2.67, 4 Os 2.90

---

Sequential DFT total energy output: -1.741 -6.942 -4.364 -9.171 -4.426 -7.628 -3.356 -4.196 -5.449 -5.900 -4.924 -8.040 eV/atom